OsPtBr2 (PBE, optimized geometry); polymorph energy (0 for the lowest one) = 746 meV/atom; SG = P2/m, No. 10
1.0
-1.8931 0.9908 -3.9163
0.2510 -2.9613 -0.8705
-4.8292 -0.6122 2.1795
Pt Os Br
1 1 2
Cartesian
-4.3802 -2.1847 -0.9765
-2.0911 -0.3980 -1.6309
-2.2742 -1.6599 0.6794
-0.0149 -0.1268 -0.0249

---

OsPtBr2 (PBE, optimized geometry); polymorph energy (0 for the lowest one) = 0 meV/atom; SG = R3m, No. 160
1.0
-3.8137 -6.9023 2.9039
-0.9926 -6.4146 5.3373
-4.1854 -4.4770 5.7495
Br Os Pt
2 1 1
Cartesian
-1.9456 -3.8502 3.0273
-0.2801 -0.5543 0.4358
-4.3738 -8.6554 6.8054
-6.8880 -13.6309 10.7175

---

Os2PtBr (PBE, optimized geometry); polymorph energy (0 for the lowest one) = 635 meV/atom; SG = Cmmm, No. 65
1.0
4.7571 0.0135 0.0000
-1.0300 4.6443 0.0000
0.0000 0.0000 2.8437
Os Br Pt
2 1 1
Cartesian
1.8635 2.3289 0.0000
0.0000 0.0000 0.0000
-0.5150 2.3221 1.4219
2.3786 0.0067 1.4219

---

Os2PtBr (PBE, optimized geometry); polymorph energy (0 for the lowest one) = 680 meV/atom; SG = I-4m2, No. 119
1.0
-3.2140 2.7116 -2.1951
-3.7042 -2.8935 -0.6382
2.3783 0.9040 4.0034
Os Br Pt
2 1 1
Cartesian
-2.3925 -1.0402 0.9743
0.0000 0.0000 0.0000
-2.1474 1.7623 0.1958
-3.4591 -0.0910 -1.4167

---

OsPtBr2 (PBE, optimized geometry); polymorph energy (0 for the lowest one) = 666 meV/atom; SG = Cmmm, No. 65
1.0
-0.4308 -1.2772 2.8604
-0.8779 -1.3798 -2.7063
8.1034 -4.0246 -0.5767
Br Os Pt
2 1 1
Cartesian
0.1689 -0.0839 -0.0120
3.8828 -1.9284 -0.2763
1.3715 -2.3347 -0.0671
5.4232 -4.3470 -0.3555

---

Os2PtBr (PBE, optimized geometry); polymorph energy (0 for the lowest one) = 0 meV/atom; SG = Pmm2, No. 25
1.0
3.5639 0.0000 0.0000
0.0000 2.8066 0.0008
0.0000 -0.0054 7.1808
Os Br Pt
2 1 1
Cartesian
1.7820 0.7007 1.6407
0.0000 2.1043 0.4228
1.7820 2.0994 5.5028
0.0000 2.1039 3.2068

---

Os2PtBr (PBE, optimized geometry); polymorph energy (0 for the lowest one) = 678 meV/atom; SG = I-42d, No. 122
1.0
3.8543 0.0000 0.0000
0.0000 3.8543 0.0000
1.9271 1.9271 9.8537
Os Pt Br
4 2 2
Cartesian
0.6919 2.8907 2.4634
3.1624 0.9636 2.4634
2.8907 2.6190 7.3903
4.8179 5.0896 7.3903
3.8543 1.9271 4.9269
0.0000 0.0000 0.0000
1.9271 1.9271 0.0000
1.9271 3.8543 4.9269

---

OsPtBr (PBE, optimized geometry); polymorph energy (0 for the lowest one) = 116 meV/atom; SG = Fmm2, No. 42
1.0
-3.6886 1.0796 6.4514
-3.4913 -1.8619 5.9903
1.8104 1.4803 1.8535
Os Br Pt
1 1 1
Cartesian
-4.1586 -0.0219 8.8834
1.6856 1.4488 2.0006
-1.0861 0.7513 5.2648

---

Number 1: E_form (uncorrected) 4.4 eV per formula unit, total magnetic moment 0.0 μB/f.u.. Number 2: E_form (uncorrected) 1.4 eV per formula unit, total magnetic moment 2.0 μB/f.u.. Number 3: E_form (uncorrected) 4.9 eV per formula unit, total magnetic moment 0.0 μB/f.u.. Number 4: E_form (uncorrected) 5.0 eV per formula unit, total magnetic moment 0.0 μB/f.u.. Number 5: E_form (uncorrected) 4.1 eV per formula unit, total magnetic moment 0.0 μB/f.u.. Number 6: E_form (uncorrected) 2.3 eV per formula unit, total magnetic moment 0.0 μB/f.u.. Number 7: E_form (uncorrected) 5.0 eV per formula unit, total magnetic moment 0.0 μB/f.u.. Number 8: E_form (uncorrected) 2.8 eV per formula unit, total magnetic moment 0.0 μB/f.u..